Here is a relaxed structure of ReIrRu2 from the Alexandria database. Energies are from PBEsol.

Computed properties:
- E (eV per atom) = -10.8922
- total magnetic moment (μB/f.u.) = 0.00
- energy relative to the elements (eV per formula unit) = -0.07

abc: 8.927 2.684 4.681
angles: 90.00 99.89 90.00
Fractional positions:
1 Re 0.000 0.000 0.000
2 Re 0.500 0.500 0.000
3 Ir 0.000 0.500 0.500
4 Ir 0.500 0.000 0.500
5 Ru 0.249 0.500 0.246
6 Ru 0.251 0.000 0.754
7 Ru 0.749 0.000 0.246
8 Ru 0.751 0.500 0.754

=====

Here is a relaxed structure of ReIrRu2 from the Alexandria database. Energies are from PBEsol.

Computed properties:
- E (eV per atom) = -10.9234
- total magnetic moment (μB/f.u.) = 0.00
- energy relative to the elements (eV per formula unit) = -0.19

abc: 3.812 3.812 3.793
angles: 90.00 90.00 90.00
Fractional positions:
1 Re 0.000 0.000 0.000
2 Ir 0.500 0.500 0.000
3 Ru 0.000 0.500 0.500
4 Ru 0.500 0.000 0.500

=====

Here is a relaxed structure of ReIrRu2 from the Alexandria database. Energies are from PBEsol.

Computed properties:
- E (eV per atom) = -10.9214
- total magnetic moment (μB/f.u.) = 0.00
- energy relative to the elements (eV per formula unit) = -0.19

abc: 3.815 3.815 7.575
angles: 90.00 90.00 90.00
Fractional positions:
1 Re 0.000 0.000 0.000
2 Re 0.500 0.500 0.500
3 Ir 0.000 0.500 0.250
4 Ir 0.500 0.000 0.750
5 Ru 0.000 0.000 0.500
6 Ru 0.000 0.500 0.750
7 Ru 0.500 0.000 0.250
8 Ru 0.500 0.500 0.000

=====

Here is a relaxed structure of ReIr2Ru from the Alexandria database. Energies are from PBEsol.

Computed properties:
- E (eV per atom) = -10.8791
- total magnetic moment (μB/f.u.) = 0.00
- energy relative to the elements (eV per formula unit) = -0.37

abc: 3.840 3.840 7.568
angles: 90.00 90.00 90.00
Fractional positions:
1 Re 0.000 0.000 0.000
2 Re 0.500 0.500 0.500
3 Ir 0.000 0.000 0.500
4 Ir 0.000 0.500 0.250
5 Ir 0.500 0.000 0.750
6 Ir 0.500 0.500 0.000
7 Ru 0.000 0.500 0.750
8 Ru 0.500 0.000 0.250

=====

Here is a relaxed structure of ReIr2Ru from the Alexandria database. Energies are from PBEsol.

Computed properties:
- E (eV per atom) = -10.8873
- total magnetic moment (μB/f.u.) = 0.00
- energy relative to the elements (eV per formula unit) = -0.40

abc: 5.384 7.698 2.692
angles: 90.00 90.00 90.00
Fractional positions:
1 Re 0.000 0.000 0.000
2 Re 0.500 0.500 0.000
3 Ir 0.250 0.250 0.500
4 Ir 0.250 0.750 0.500
5 Ir 0.750 0.250 0.500
6 Ir 0.750 0.750 0.500
7 Ru 0.000 0.500 0.000
8 Ru 0.500 0.000 0.000

=====

Here is a relaxed structure of ReIrRu2 from the Alexandria database. Energies are from PBEsol.

Computed properties:
- E (eV per atom) = -10.8895
- total magnetic moment (μB/f.u.) = 0.00
- energy relative to the elements (eV per formula unit) = -0.06

abc: 5.394 7.583 2.698
angles: 90.00 90.00 90.00
Fractional positions:
1 Re 0.000 0.000 0.000
2 Re 0.500 0.500 0.000
3 Ir 0.000 0.500 0.000
4 Ir 0.500 0.000 0.000
5 Ru 0.250 0.250 0.500
6 Ru 0.250 0.750 0.500
7 Ru 0.750 0.250 0.500
8 Ru 0.750 0.750 0.500

=====

Here is a relaxed structure of ReIr2Ru from the Alexandria database. Energies are from PBEsol.

Computed properties:
- E (eV per atom) = -10.8918
- total magnetic moment (μB/f.u.) = 0.00
- energy relative to the elements (eV per formula unit) = -0.42

abc: 2.689 3.854 5.382
angles: 90.00 90.00 90.00
Fractional positions:
1 Re 0.000 0.000 0.000
2 Ir 0.500 0.500 0.251
3 Ir 0.500 0.500 0.749
4 Ru 0.000 0.000 0.500

=====

Here is a relaxed structure of ReIr2Ru from the Alexandria database. Energies are from PBEsol.

Computed properties:
- E (eV per atom) = -10.2751
- total magnetic moment (μB/f.u.) = 0.38
- energy relative to the elements (eV per formula unit) = 2.05

abc: 6.124 6.124 6.124
angles: 90.00 90.00 90.00
Fractional positions:
1 Re 0.000 0.000 0.000
2 Re 0.000 0.500 0.500
3 Re 0.500 0.000 0.500
4 Re 0.500 0.500 0.000
5 Ir 0.000 0.000 0.500
6 Ir 0.000 0.500 0.000
7 Ir 0.250 0.250 0.250
8 Ir 0.250 0.750 0.750
9 Ir 0.500 0.000 0.000
10 Ir 0.500 0.500 0.500
11 Ir 0.750 0.250 0.750
12 Ir 0.750 0.750 0.250
13 Ru 0.250 0.250 0.750
14 Ru 0.250 0.750 0.250
15 Ru 0.750 0.250 0.250
16 Ru 0.750 0.750 0.750